1.
# TbNd8Sm6

TbNd8Sm6 after structural relaxation (GGA-PBE, the Alexandria database).

Values from the calculation:
- magnetic moment (μB per cell) = 0.00
- space group = P-3 (147)
- offset from the most stable computed form (eV/atom) = 0.051

The structure in POSCAR format:
```
TbNd8Sm6
1.0
-1.887 3.642 -5.279
8.227 -2.053 -4.357
-7.574 -5.665 -1.201
Tb Nd Sm
1 8 6
Direct
0.500 0.000 0.000
0.836 0.031 0.284
0.836 0.716 0.747
0.836 0.253 0.969
0.164 0.969 0.716
0.164 0.284 0.253
0.164 0.747 0.031
0.886 0.333 0.667
0.114 0.667 0.333
0.658 0.654 0.087
0.658 0.913 0.567
0.658 0.433 0.346
0.342 0.346 0.913
0.342 0.087 0.433
0.342 0.567 0.654
```

=====

2.
# Tb6NdSm8

Tb6NdSm8 after structural relaxation (GGA-PBE, the Alexandria database).

Values from the calculation:
- magnetic moment (μB per cell) = 0.00
- space group = R-3 (148)
- final energy (eV per atom) = -4.561

The structure in POSCAR format:
```
Tb6NdSm8
1.0
9.139 0.000 0.000
4.570 7.915 0.000
4.570 2.638 6.949
Tb Nd Sm
6 1 8
Direct
0.463 0.900 0.880
0.100 0.243 0.120
0.243 0.537 0.120
0.757 0.463 0.880
0.900 0.757 0.880
0.537 0.100 0.120
0.000 0.000 0.000
0.252 0.281 0.578
0.719 0.112 0.422
0.112 0.748 0.422
0.577 0.577 0.269
0.423 0.423 0.731
0.888 0.252 0.578
0.281 0.888 0.578
0.748 0.719 0.422
```

=====

3.
# Tb3Nd4Sm2

Tb3Nd4Sm2 after structural relaxation (GGA-PBE, the Alexandria database).

Values from the calculation:
- magnetic moment (μB per cell) = 0.00
- space group = C2/c (15)
- offset from the most stable computed form (eV/atom) = 0.036

The structure in POSCAR format:
```
Tb3Nd4Sm2
1.0
-5.910 -1.006 -1.731
-7.473 -3.142 8.084
-7.890 7.634 3.246
Tb Nd Sm
6 8 4
Direct
0.745 0.067 0.267
0.755 0.733 0.933
0.255 0.933 0.733
0.245 0.267 0.067
0.250 0.600 0.400
0.750 0.400 0.600
0.419 0.907 0.188
0.081 0.812 0.093
0.581 0.093 0.812
0.919 0.188 0.907
0.080 0.146 0.427
0.420 0.573 0.854
0.920 0.854 0.573
0.580 0.427 0.146
0.419 0.243 0.520
0.081 0.480 0.757
0.581 0.757 0.480
0.919 0.520 0.243
```

=====

Q: What is the magnetic moment in the third record?
A: 0.00 μB per cell